Entry 1:
AgCl: optimized geometry, PBEsol.

Summary:
size of the total moment = 0.0 μB/f.u.
crystal system = hexagonal
formation energy (no corrections) = -0.3243 eV/atom

Geometry as CIF:
```
data_AgCl
_chemical_formula_sum 'Ag1 Cl1'
_cell_length_a 3.6516
_cell_length_b 3.6516
_cell_length_c 3.4709
_cell_angle_alpha 90.00
_cell_angle_beta 90.00
_cell_angle_gamma 120.00
_symmetry_space_group_name_H-M 'P -6 m 2'
_symmetry_Int_Tables_number 187
_symmetry_space_group_name_Hall 'P -6 2'
loop_
_atom_site_label
_atom_site_fract_x
_atom_site_fract_y
_atom_site_fract_z
Ag1 0.0000 0.0000 0.0000
Cl1 0.3333 0.6667 0.5000
```



Entry 2:
AgCl: optimized geometry, PBEsol.

Summary:
size of the total moment = 0.0 μB/f.u.
crystal system = trigonal
DOS at the Fermi energy = 0.0 states/eV/f.u.
formation energy (no corrections) = -0.3250 eV/atom

Geometry as CIF:
```
data_AgCl
_chemical_formula_sum 'Ag6 Cl6'
_cell_length_a 3.9931
_cell_length_b 3.9931
_cell_length_c 19.3663
_cell_angle_alpha 90.00
_cell_angle_beta 90.00
_cell_angle_gamma 120.00
_symmetry_space_group_name_H-M 'R -3 m'
_symmetry_Int_Tables_number 166
_symmetry_space_group_name_Hall '-R 3 2"'
loop_
_atom_site_label
_atom_site_fract_x
_atom_site_fract_y
_atom_site_fract_z
Ag1 0.0000 0.0000 0.1237
Cl1 0.0000 0.0000 0.4058
```



Entry 3:
AgCl3: optimized geometry, PBEsol.

Summary:
size of the total moment = 0.0 μB/f.u.
crystal system = tetragonal
DOS at the Fermi energy = 4.3 states/eV/f.u.
formation energy (no corrections) = 0.2774 eV/atom

Geometry as CIF:
```
data_AgCl3
_chemical_formula_sum 'Ag1 Cl3'
_cell_length_a 4.8711
_cell_length_b 4.8711
_cell_length_c 3.1768
_cell_angle_alpha 90.00
_cell_angle_beta 90.00
_cell_angle_gamma 90.00
_symmetry_space_group_name_H-M 'P 4/m m m'
_symmetry_Int_Tables_number 123
_symmetry_space_group_name_Hall '-P 4 2'
loop_
_atom_site_label
_atom_site_fract_x
_atom_site_fract_y
_atom_site_fract_z
Ag1 0.0000 0.0000 0.0000
Cl1 0.0000 0.5000 0.5000
Cl2 0.5000 0.5000 0.0000
```



Entry 4:
AgCl: optimized geometry, PBEsol.

Summary:
size of the total moment = 0.0 μB/f.u.
crystal system = orthorhombic
DOS at the Fermi energy = 0.1 states/eV/f.u.
formation energy (no corrections) = -0.2912 eV/atom

Geometry as CIF:
```
data_AgCl
_chemical_formula_sum 'Ag2 Cl2'
_cell_length_a 3.9186
_cell_length_b 5.7559
_cell_length_c 3.5027
_cell_angle_alpha 90.00
_cell_angle_beta 90.00
_cell_angle_gamma 90.00
_symmetry_space_group_name_H-M 'C m m m'
_symmetry_Int_Tables_number 65
_symmetry_space_group_name_Hall '-C 2 2'
loop_
_atom_site_label
_atom_site_fract_x
_atom_site_fract_y
_atom_site_fract_z
Ag1 0.0000 0.0000 0.0000
Cl1 0.0000 0.5000 0.5000
```



Entry 5:
AgCl: optimized geometry, PBEsol.

Summary:
size of the total moment = 0.0 μB/f.u.
crystal system = orthorhombic
formation energy (no corrections) = -0.3705 eV/atom

Geometry as CIF:
```
data_AgCl
_chemical_formula_sum 'Ag2 Cl2'
_cell_length_a 3.8300
_cell_length_b 3.8491
_cell_length_c 5.4326
_cell_angle_alpha 90.00
_cell_angle_beta 90.00
_cell_angle_gamma 90.00
_symmetry_space_group_name_H-M 'I m m m'
_symmetry_Int_Tables_number 71
_symmetry_space_group_name_Hall '-I 2 2'
loop_
_atom_site_label
_atom_site_fract_x
_atom_site_fract_y
_atom_site_fract_z
Ag1 0.0000 0.0000 0.0000
Cl1 0.0000 0.0000 0.5000
```



Entry 6:
CoAgCl4: optimized geometry, PBEsol.

Summary:
size of the total moment = 1.1 μB/f.u.
crystal system = cubic
DOS at the Fermi energy = 10.0 states/eV/f.u.
formation energy (no corrections) = 0.9879 eV/atom

Geometry as CIF:
```
data_CoAgCl4
_chemical_formula_sum 'Co4 Ag4 Cl16'
_cell_length_a 7.9709
_cell_length_b 7.9709
_cell_length_c 7.9709
_cell_angle_alpha 90.00
_cell_angle_beta 90.00
_cell_angle_gamma 90.00
_symmetry_space_group_name_H-M 'F -4 3 m'
_symmetry_Int_Tables_number 216
_symmetry_space_group_name_Hall 'F -4 2 3'
loop_
_atom_site_label
_atom_site_fract_x
_atom_site_fract_y
_atom_site_fract_z
Co1 0.0000 0.0000 0.0000
Ag1 0.2500 0.2500 0.2500
Cl1 0.1255 0.1255 0.6255
```